# Li3CeCl6 | Alexandria | GGA-PBE | relaxed
data_Li3CeCl6
_chemical_formula_sum 'Li6 Ce2 Cl12'
_symmetry_space_group_name_H-M 'C m m m'
_symmetry_Int_Tables_number 65
_symmetry_space_group_name_Hall '-C 2 2'
_cell_length_a 8.490
_cell_length_b 12.984
_cell_length_c 4.414
_cell_angle_alpha 90.00
_cell_angle_beta 90.00
_cell_angle_gamma 90.00
loop_
_atom_site_label
_atom_site_fract_x
_atom_site_fract_y
_atom_site_fract_z
Li1 0.000 0.000 0.000
Li2 0.250 0.250 0.500
Ce1 0.000 0.500 0.000
Cl1 0.000 0.358 0.500
Cl2 0.209 0.125 0.000
# Offset from the most stable computed form ... 0.550 kcal/mol of atoms
# Size of the total moment ... 2.00 μB/cell
# E_form (uncorrected) ... -1804 kJ/mol of formula units
# N(E_F) ... 7.985 states/eV/f.u.